## w
## KFeB2 (PBE)

Data for KFeB2 after structural relaxation.

```
data_KFeB2
_chemical_formula_sum 'K4 Fe4 B8'
_space_group_name_H-M_alt 'I 41/a m d'
_space_group_IT_number 141
_cell_length_a 5.979
_cell_length_b 5.979
_cell_length_c 8.520
_cell_angle_alpha 90.00
_cell_angle_beta 90.00
_cell_angle_gamma 90.00
loop_
_space_group_symop_operation_xyz
'x,y,z'
'-x,-y,-z'
'-y+1/4,x+3/4,z+1/4'
'y+1/4,-x+3/4,-z+1/4'
'-x+1/2,-y,z+1/2'
'x+1/2,y,-z+1/2'
'y+1/4,-x+1/4,z+3/4'
'-y+1/4,x+1/4,-z+3/4'
'x,-y,-z'
'-x,y,z'
'-y+1/4,-x+1/4,-z+3/4'
'y+1/4,x+1/4,z+3/4'
'-x+1/2,y,-z+1/2'
'x+1/2,-y,z+1/2'
'y+1/4,x+3/4,-z+1/4'
'-y+1/4,-x+3/4,z+1/4'
'x+1/2,y+1/2,z+1/2'
'-x+1/2,-y+1/2,-z+1/2'
'-y+3/4,x+1/4,z+3/4'
'y+3/4,-x+1/4,-z+3/4'
'-x,-y+1/2,z'
'x,y+1/2,-z'
'y+3/4,-x+3/4,z+1/4'
'-y+3/4,x+3/4,-z+1/4'
'x+1/2,-y+1/2,-z+1/2'
'-x+1/2,y+1/2,z+1/2'
'-y+3/4,-x+3/4,-z+1/4'
'y+3/4,x+3/4,z+1/4'
'-x,y+1/2,-z'
'x,-y+1/2,z'
'y+3/4,x+1/4,-z+3/4'
'-y+3/4,-x+1/4,z+3/4'
loop_
_atom_site_label
_atom_site_type_symbol
_atom_site_fract_x
_atom_site_fract_y
_atom_site_fract_z
_atom_site_occupancy
K1 K 0.000 0.250 0.375 1
Fe1 Fe 0.000 0.250 0.875 1
B1 B 0.000 0.000 0.000 1
```

Calculated values
**DOS at the Fermi energy**: 5.7 states/eV per cell
**Size of the total moment**: 0.0 μB/cell

## x
## KFeB2 (PBE)

Data for KFeB2 after structural relaxation.

```
data_KFeB2
_chemical_formula_sum 'K4 Fe4 B8'
_space_group_name_H-M_alt 'F m -3 m'
_space_group_IT_number 225
_space_group_name_Hall '-F 4 2 3'
_cell_length_a 5.918
_cell_length_b 5.918
_cell_length_c 5.918
_cell_angle_alpha 90.00
_cell_angle_beta 90.00
_cell_angle_gamma 90.00
loop_
_atom_site_label
_atom_site_type_symbol
_atom_site_fract_x
_atom_site_fract_y
_atom_site_fract_z
_atom_site_occupancy
K1 K 0.000 0.000 0.000 1
Fe1 Fe 0.000 0.000 0.500 1
B1 B 0.250 0.250 0.250 1
```

Calculated values
**DOS at the Fermi energy**: 21.1 states/eV per cell
**Size of the total moment**: 0.0 μB/cell

The most stable structure shown above is w; the least stable is x.